1.
Hf5PbN | PBE | optimized geometry

Cell: 5.983 5.983 9.957 Å, 65.42 65.42 62.24°
Fractional coordinates of all 14 atoms:
Hf  0.077  0.582  0.085
Hf  0.077  0.582  0.585
Hf  0.582  0.077  0.585
Hf  0.000  0.000  0.250
Hf  0.418  0.923  0.915
Hf  0.582  0.077  0.085
Hf  0.000  0.000  0.750
Hf  0.418  0.923  0.415
Hf  0.923  0.418  0.415
Hf  0.923  0.418  0.915
Pb  0.500  0.500  0.250
Pb  0.500  0.500  0.750
N  0.000  0.000  0.000
N  0.000  0.000  0.500

N(E_F): 8.73 states/eV per cell
Symmetry: Immm, No. 71
VASP energy: -128.88 eV for the cell shown

2.
SmTm2Sc2 | PBE | optimized geometry

Cell: 9.072 9.072 3.526 Å, 90.00 90.00 90.00°
Fractional coordinates of all 10 atoms:
Sm  0.000  0.000  0.000
Sm  0.500  0.500  0.000
Tm  0.325  0.825  0.500
Tm  0.825  0.675  0.500
Tm  0.675  0.175  0.500
Tm  0.175  0.325  0.500
Sc  0.119  0.619  0.000
Sc  0.619  0.881  0.000
Sc  0.881  0.381  0.000
Sc  0.381  0.119  0.000

Offset from the most stable computed form: 0.0 meV per atom
N(E_F): 11.33 states/eV per cell
Formation enthalpy at 0 K: 0.08 eV per atom
Symmetry: P4/mbm, No. 127
VASP energy: -51.88 eV for the cell shown

3.
SrMg2Bi2 | PBE | optimized geometry

Cell: 8.968 8.968 3.799 Å, 90.00 90.00 90.00°
Fractional coordinates of all 10 atoms:
Sr  0.000  0.000  0.000
Sr  0.500  0.500  0.000
Mg  0.134  0.634  0.500
Mg  0.634  0.866  0.500
Mg  0.866  0.366  0.500
Mg  0.366  0.134  0.500
Bi  0.340  0.840  0.000
Bi  0.840  0.660  0.000
Bi  0.660  0.160  0.000
Bi  0.160  0.340  0.000

N(E_F): 3.02 states/eV per cell
Formation enthalpy at 0 K: -0.30 eV per atom
Symmetry: P4/mbm, No. 127
VASP energy: -28.28 eV for the cell shown

4.
Tl2ReOs | PBE | optimized geometry

Cell: 4.096 4.278 4.278 Å, 90.00 90.00 90.00°
Fractional coordinates of all 4 atoms:
Os  0.500  0.500  0.000
Re  0.500  0.000  0.500
Tl  0.000  0.000  0.000
Tl  0.000  0.500  0.500

Offset from the most stable computed form: 880.0 meV per atom
N(E_F): 4.16 states/eV per cell
Formation enthalpy at 0 K: 1.39 eV per atom
Symmetry: P4/mmm, No. 123
VASP energy: -22.84 eV for the cell shown

5.
Rb3Sm2HfTe6 | PBE | optimized geometry

Cell: 7.721 7.721 8.978 Å, 98.27 98.27 120.01°
Fractional coordinates of all 12 atoms:
Rb  0.173  0.827  0.500
Rb  0.827  0.173  0.500
Rb  0.500  0.500  0.500
Sm  0.334  0.666  0.000
Sm  0.666  0.334  0.000
Hf  0.000  0.000  0.000
Te  0.934  0.620  0.801
Te  0.755  0.755  0.201
Te  0.066  0.380  0.199
Te  0.620  0.934  0.801
Te  0.245  0.245  0.799
Te  0.380  0.066  0.199

N(E_F): 4.91 states/eV per cell
Symmetry: C2/m, No. 12
VASP energy: -55.55 eV for the cell shown

6.
Zr2InSi | PBE | optimized geometry

Cell: 3.983 3.929 5.625 Å, 69.49 90.00 90.00°
Fractional coordinates of all 4 atoms:
In  0.000  0.706  0.462
Si  0.500  0.536  0.803
Zr  0.000  0.982  0.910
Zr  0.500  0.276  0.324

N(E_F): 1.89 states/eV per cell
Symmetry: Pm, No. 6
VASP energy: -27.17 eV for the cell shown

no.,volume (Å³/atom)
1,19.69
2,29.02
3,30.55
4,18.74
5,36.99
6,20.61